# MgCu2Ru

A crystal of MgCu2Ru relaxed with PBEsol (SCAN, Alexandria).

Cell and atoms, written as POSCAR:
```
MgCu2Ru
1.0
2.786 0.000 0.000
0.000 4.354 0.000
-1.393 -2.177 4.340
Cu Mg Ru
2 1 1
Direct
0.010 0.010 0.020 Cu
0.738 0.238 0.475 Cu
0.491 0.491 0.981 Mg
0.262 0.762 0.523 Ru
```

Computed properties:
V in Å³/f.u.: 52.6
Final energy in eV per cell: -69.70
Formation enthalpy at 0 K in kJ/mol of formula units: 48



# K2LiYF6

A crystal of K2LiYF6 relaxed with PBEsol (SCAN, Alexandria).

Cell and atoms, written as POSCAR:
```
K2LiYF6
1.0
5.913 0.000 0.000
2.957 5.121 0.000
2.957 1.707 4.828
K Li Y F
2 1 1 6
Direct
0.750 0.750 0.750 K
0.250 0.250 0.250 K
0.500 0.500 0.500 Li
0.000 0.000 0.000 Y
0.744 0.256 0.256 F
0.744 0.744 0.256 F
0.256 0.744 0.744 F
0.744 0.256 0.744 F
0.256 0.744 0.256 F
0.256 0.256 0.744 F
```

Computed properties:
V in Å³/f.u.: 146.2
Final energy in eV per cell: -103.83
E_form (uncorrected) in meV/atom: -3569.9



# MgSb2Pb

A crystal of MgSb2Pb relaxed with PBEsol (SCAN, Alexandria).

Cell and atoms, written as POSCAR:
```
MgSb2Pb
1.0
6.599 0.000 0.000
0.000 6.599 0.000
-3.300 -3.300 6.608
Pb Sb Mg
2 4 2
Direct
0.250 0.750 0.500 Pb
0.000 0.000 0.000 Pb
0.387 0.875 0.250 Sb
0.863 0.375 0.250 Sb
0.125 0.137 0.750 Sb
0.625 0.613 0.750 Sb
0.750 0.250 0.500 Mg
0.500 0.500 0.000 Mg
```

Computed properties:
V in Å³/f.u.: 143.9
Final energy in eV per cell: -311.20
E_form (uncorrected) in meV/atom: -80.7